Entry 1:
Here is crystalline CrRh2 at its relaxed geometry from Alexandria via LeMat-Bulk. Energies are from PBE.

Summary:
Total magnetization (μB/f.u.): 1.0
ΔH_f (0 K) (eV/atom): 0.565
E_tot (Ry/atom): -0.5544
Density of states at the Fermi level (states/eV/atom): 1.23

Geometry as CIF:
```
data_CrRh2
_space_group_name_H-M_alt 'P a -3'
_space_group_IT_number 205
_space_group_name_Hall '-P 2ac 2ab 3'
_cell_length_a 5.723
_cell_length_b 5.723
_cell_length_c 5.723
_cell_angle_alpha 90.00
_cell_angle_beta 90.00
_cell_angle_gamma 90.00
loop_
_atom_site_label
_atom_site_type_symbol
_atom_site_fract_x
_atom_site_fract_y
_atom_site_fract_z
_atom_site_occupancy
Cr1 Cr 0.000 0.000 0.000 1
Rh1 Rh 0.130 0.630 0.870 1
```

Entry 2:
Here is crystalline SmDy2Ho8 at its relaxed geometry from Alexandria via LeMat-Bulk. Energies are from PBE.

Summary:
Total magnetization (μB/f.u.): 0.0
Relative energy among the computed polymorphs (eV per formula unit): 1.05
ΔH_f (0 K) (eV/atom): 0.115
E_tot (Ry/atom): -0.3293
Density of states at the Fermi level (states/eV/atom): 1.39

Geometry as CIF:
```
data_SmDy2Ho8
_space_group_name_H-M_alt 'I m m m'
_space_group_IT_number 71
_space_group_name_Hall '-I 2 2'
_cell_length_a 5.475
_cell_length_b 8.067
_cell_length_c 15.883
_cell_angle_alpha 90.00
_cell_angle_beta 90.00
_cell_angle_gamma 90.00
loop_
_atom_site_label
_atom_site_type_symbol
_atom_site_fract_x
_atom_site_fract_y
_atom_site_fract_z
_atom_site_occupancy
Sm1 Sm 0.000 0.000 0.000 1
Dy1 Dy 0.000 0.000 0.300 1
Ho1 Ho 0.000 0.206 0.500 1
Ho2 Ho 0.000 0.293 0.139 1
Ho3 Ho 0.000 0.500 0.337 1
```

Entry 3:
Here is crystalline La6PrNd5 at its relaxed geometry from Alexandria via LeMat-Bulk. Energies are from PBE.

Summary:
Total magnetization (μB/f.u.): 0.0
Relative energy among the computed polymorphs (eV per formula unit): 0.04
ΔH_f (0 K) (eV/atom): 0.012
E_tot (Ry/atom): -0.3554
Density of states at the Fermi level (states/eV/atom): 1.81

Geometry as CIF:
```
data_La6PrNd5
_space_group_name_H-M_alt 'C 1 2/m 1'
_space_group_IT_number 12
_cell_length_a 5.269
_cell_length_b 15.839
_cell_length_c 10.402
_cell_angle_alpha 90.00
_cell_angle_beta 90.09
_cell_angle_gamma 90.00
loop_
_space_group_symop_operation_xyz
'x,y,z'
'-x,-y,-z'
'-x,y,-z'
'x,-y,z'
'x+1/2,y+1/2,z'
'-x+1/2,-y+1/2,-z'
'-x+1/2,y+1/2,-z'
'x+1/2,-y+1/2,z'
loop_
_atom_site_label
_atom_site_type_symbol
_atom_site_fract_x
_atom_site_fract_y
_atom_site_fract_z
_atom_site_occupancy
La1 La 0.000 0.000 0.250 1
La2 La 0.000 0.333 0.250 1
Pr1 Pr 0.000 0.500 0.000 1
Nd1 Nd 0.000 0.167 0.000 1
Nd2 Nd 0.000 0.167 0.500 1
Nd3 Nd 0.000 0.500 0.500 1
```

Entry 4:
Here is crystalline SrAs2P at its relaxed geometry from Alexandria via LeMat-Bulk. Energies are from PBE.

Summary:
Total magnetization (μB/f.u.): 0.0
ΔH_f (0 K) (eV/atom): -0.194
E_tot (Ry/atom): -0.3154
Density of states at the Fermi level (states/eV/atom): 0.42

Geometry as CIF:
```
data_SrAs2P
_space_group_name_H-M_alt 'P 4/m m m'
_space_group_IT_number 123
_space_group_name_Hall '-P 4 2'
_cell_length_a 4.368
_cell_length_b 4.368
_cell_length_c 4.542
_cell_angle_alpha 90.00
_cell_angle_beta 90.00
_cell_angle_gamma 90.00
loop_
_atom_site_label
_atom_site_type_symbol
_atom_site_fract_x
_atom_site_fract_y
_atom_site_fract_z
_atom_site_occupancy
Sr1 Sr 0.000 0.000 0.000 1
As1 As 0.000 0.500 0.500 1
P1 P 0.500 0.500 0.000 1
```

Entry 5:
Here is crystalline UZnNi6 at its relaxed geometry from Alexandria via LeMat-Bulk. Energies are from PBE.

Summary:
Total magnetization (μB/f.u.): 0.0
Relative energy among the computed polymorphs (eV per formula unit): 0.15
ΔH_f (0 K) (eV/atom): -0.208
E_tot (Ry/atom): -0.4494
Density of states at the Fermi level (states/eV/atom): 0.43

Geometry as CIF:
```
data_UZnNi6
_space_group_name_H-M_alt 'P -6 m 2'
_space_group_IT_number 187
_space_group_name_Hall 'P -6 2'
_cell_length_a 5.2061
_cell_length_b 5.2061
_cell_length_c 4.2835
_cell_angle_alpha 90.00
_cell_angle_beta 90.00
_cell_angle_gamma 120.00
loop_
_atom_site_label
_atom_site_type_symbol
_atom_site_fract_x
_atom_site_fract_y
_atom_site_fract_z
_atom_site_occupancy
U1 U 0.0000 0.0000 0.0000 1
Zn1 Zn 0.3333 0.6667 0.5000 1
Ni1 Ni 0.3456 0.1728 0.5000 1
Ni2 Ni 0.5026 0.0053 0.0000 1
```

Entry 6:
Here is crystalline Ce6PuSi3 at its relaxed geometry from Alexandria via LeMat-Bulk. Energies are from PBE.

Summary:
Total magnetization (μB/f.u.): 0.0
Relative energy among the computed polymorphs (eV per formula unit): 0.00
E_tot (Ry/atom): -0.5113
Density of states at the Fermi level (states/eV/atom): 0.59
Formation energy without anion corrections (kJ/mol of formula units): -324

Geometry as CIF:
```
data_Ce6PuSi3
_space_group_name_H-M_alt 'R -3'
_space_group_IT_number 148
_space_group_name_Hall '-R 3'
_cell_length_a 12.3066
_cell_length_b 12.3066
_cell_length_c 12.3545
_cell_angle_alpha 90.00
_cell_angle_beta 90.00
_cell_angle_gamma 120.00
loop_
_atom_site_label
_atom_site_type_symbol
_atom_site_fract_x
_atom_site_fract_y
_atom_site_fract_z
_atom_site_occupancy
Ce1 Ce 0.0291 0.1894 0.4006 1
Ce2 Ce 0.0472 0.1838 0.8863 1
Pu1 Pu 0.0000 0.0000 0.0000 1
Pu2 Pu 0.0000 0.0000 0.5000 1
Si1 Si 0.0459 0.4289 0.3309 1
```

Entry 7:
Here is crystalline Na2Ti2Ga at its relaxed geometry from Alexandria via LeMat-Bulk. Energies are from PBE.

Summary:
Total magnetization (μB/f.u.): 0.0
Relative energy among the computed polymorphs (eV per formula unit): 0.00
ΔH_f (0 K) (eV/atom): 0.536
E_tot (Ry/atom): -0.2760
Density of states at the Fermi level (states/eV/atom): 0.91

Geometry as CIF:
```
data_Na2Ti2Ga
_space_group_name_H-M_alt 'I 4/m m m'
_space_group_IT_number 139
_space_group_name_Hall '-I 4 2'
_cell_length_a 3.553
_cell_length_b 3.553
_cell_length_c 19.385
_cell_angle_alpha 90.00
_cell_angle_beta 90.00
_cell_angle_gamma 90.00
loop_
_atom_site_label
_atom_site_type_symbol
_atom_site_fract_x
_atom_site_fract_y
_atom_site_fract_z
_atom_site_occupancy
Na1 Na 0.000 0.000 0.102 1
Ti1 Ti 0.000 0.500 0.250 1
Ga1 Ga 0.000 0.000 0.500 1
```

Entry 8:
Here is crystalline CaIn3Au2 at its relaxed geometry from Alexandria via LeMat-Bulk. Energies are from PBE.

Summary:
Total magnetization (μB/f.u.): 0.0
Relative energy among the computed polymorphs (eV per formula unit): 0.81
ΔH_f (0 K) (eV/atom): -0.303
E_tot (Ry/atom): -0.2277
Density of states at the Fermi level (states/eV/atom): 0.42

Geometry as CIF:
```
data_CaIn3Au2
_space_group_name_H-M_alt 'R -3 m'
_space_group_IT_number 166
_space_group_name_Hall '-R 3 2"'
_cell_length_a 7.0600
_cell_length_b 7.0600
_cell_length_c 20.6840
_cell_angle_alpha 90.00
_cell_angle_beta 90.00
_cell_angle_gamma 120.00
loop_
_atom_site_label
_atom_site_type_symbol
_atom_site_fract_x
_atom_site_fract_y
_atom_site_fract_z
_atom_site_occupancy
Ca1 Ca 0.0000 0.0000 0.2225 1
In1 In 0.0081 0.5041 0.2355 1
Au1 Au 0.0000 0.0000 0.0000 1
Au2 Au 0.0000 0.5000 0.0000 1
```

Entry 9:
Here is crystalline NdSm4Sc4 at its relaxed geometry from Alexandria via LeMat-Bulk. Energies are from PBE.

Summary:
Total magnetization (μB/f.u.): 0.0
ΔH_f (0 K) (eV/atom): 0.059
E_tot (Ry/atom): -0.3956
Density of states at the Fermi level (states/eV/atom): 1.46

Geometry as CIF:
```
data_NdSm4Sc4
_space_group_name_H-M_alt 'I 4/m m m'
_space_group_IT_number 139
_space_group_name_Hall '-I 4 2'
_cell_length_a 10.430
_cell_length_b 10.430
_cell_length_c 4.870
_cell_angle_alpha 90.00
_cell_angle_beta 90.00
_cell_angle_gamma 90.00
loop_
_atom_site_label
_atom_site_type_symbol
_atom_site_fract_x
_atom_site_fract_y
_atom_site_fract_z
_atom_site_occupancy
Nd1 Nd 0.000 0.000 0.000 1
Sm1 Sm 0.000 0.328 0.000 1
Sc1 Sc 0.167 0.167 0.500 1
```

Entry 10:
Here is crystalline Ba2Ca2Hg at its relaxed geometry from Alexandria via LeMat-Bulk. Energies are from PBE.

Summary:
Total magnetization (μB/f.u.): 0.0
Relative energy among the computed polymorphs (eV per formula unit): 1.29
ΔH_f (0 K) (eV/atom): 0.051
E_tot (Ry/atom): -0.1160
Density of states at the Fermi level (states/eV/atom): 1.48

Geometry as CIF:
```
data_Ba2Ca2Hg
_space_group_name_H-M_alt 'P 4/m b m'
_space_group_IT_number 127
_space_group_name_Hall '-P 4 2ab'
_cell_length_a 8.784
_cell_length_b 8.784
_cell_length_c 6.445
_cell_angle_alpha 90.00
_cell_angle_beta 90.00
_cell_angle_gamma 90.00
loop_
_atom_site_label
_atom_site_type_symbol
_atom_site_fract_x
_atom_site_fract_y
_atom_site_fract_z
_atom_site_occupancy
Ba1 Ba 0.156 0.344 0.000 1
Ca1 Ca 0.159 0.659 0.500 1
Hg1 Hg 0.000 0.000 0.000 1
```

Entry 11:
Here is crystalline CaGe2Pb2Au7 at its relaxed geometry from Alexandria via LeMat-Bulk. Energies are from PBE.

Summary:
Total magnetization (μB/f.u.): 0.0
ΔH_f (0 K) (eV/atom): -0.168
E_tot (Ry/atom): -0.2671
Density of states at the Fermi level (states/eV/atom): 0.43

Geometry as CIF:
```
data_CaGe2Pb2Au7
_space_group_name_H-M_alt 'C 1 2/m 1'
_space_group_IT_number 12
_cell_length_a 6.071
_cell_length_b 6.035
_cell_length_c 16.007
_cell_angle_alpha 90.00
_cell_angle_beta 100.68
_cell_angle_gamma 90.00
loop_
_space_group_symop_operation_xyz
'x,y,z'
'-x,-y,-z'
'-x,y,-z'
'x,-y,z'
'x+1/2,y+1/2,z'
'-x+1/2,-y+1/2,-z'
'-x+1/2,y+1/2,-z'
'x+1/2,-y+1/2,z'
loop_
_atom_site_label
_atom_site_type_symbol
_atom_site_fract_x
_atom_site_fract_y
_atom_site_fract_z
_atom_site_occupancy
Ca1 Ca 0.000 0.000 0.000 1
Ge1 Ge 0.112 0.500 0.234 1
Pb1 Pb 0.208 0.000 0.419 1
Au1 Au 0.000 0.500 0.000 1
Au2 Au 0.183 0.250 0.860 1
Au3 Au 0.197 0.500 0.396 1
```

Entry 12:
Here is crystalline BaHf2TiPt at its relaxed geometry from Alexandria via LeMat-Bulk. Energies are from PBE.

Summary:
Total magnetization (μB/f.u.): 0.0
ΔH_f (0 K) (eV/atom): 2.053
E_tot (Ry/atom): -0.3748
Density of states at the Fermi level (states/eV/atom): 1.52

Geometry as CIF:
```
data_BaHf2TiPt
_space_group_name_H-M_alt 'P 4/m m m'
_space_group_IT_number 123
_space_group_name_Hall '-P 4 2'
_cell_length_a 5.244
_cell_length_b 5.244
_cell_length_c 5.109
_cell_angle_alpha 90.00
_cell_angle_beta 90.00
_cell_angle_gamma 90.00
loop_
_atom_site_label
_atom_site_type_symbol
_atom_site_fract_x
_atom_site_fract_y
_atom_site_fract_z
_atom_site_occupancy
Ba1 Ba 0.000 0.000 0.000 1
Hf1 Hf 0.000 0.500 0.000 1
Ti1 Ti 0.500 0.500 0.500 1
Pt1 Pt 0.000 0.000 0.500 1
```

Entry 13:
Here is crystalline SrCaFe2 at its relaxed geometry from Alexandria via LeMat-Bulk. Energies are from PBE.

Summary:
Total magnetization (μB/f.u.): 5.0
ΔH_f (0 K) (eV/atom): 0.983
E_tot (Ry/atom): -0.3064
Density of states at the Fermi level (states/eV/atom): 1.39

Geometry as CIF:
```
data_SrCaFe2
_space_group_name_H-M_alt 'R -3 m'
_space_group_IT_number 166
_space_group_name_Hall '-R 3 2"'
_cell_length_a 3.4081
_cell_length_b 3.4081
_cell_length_c 29.1648
_cell_angle_alpha 90.00
_cell_angle_beta 90.00
_cell_angle_gamma 120.00
loop_
_atom_site_label
_atom_site_type_symbol
_atom_site_fract_x
_atom_site_fract_y
_atom_site_fract_z
_atom_site_occupancy
Sr1 Sr 0.0000 0.0000 0.0000 1
Ca1 Ca 0.0000 0.0000 0.5000 1
Fe1 Fe 0.0000 0.0000 0.2478 1
```

Entry 14:
Here is crystalline DyNpAu4 at its relaxed geometry from Alexandria via LeMat-Bulk. Energies are from PBE.

Summary:
Total magnetization (μB/f.u.): 4.1
ΔH_f (0 K) (eV/atom): -0.506
E_tot (Ry/atom): -0.4127
Density of states at the Fermi level (states/eV/atom): 1.52

Geometry as CIF:
```
data_DyNpAu4
_space_group_name_H-M_alt 'P 4/m m m'
_space_group_IT_number 123
_space_group_name_Hall '-P 4 2'
_cell_length_a 3.753
_cell_length_b 3.753
_cell_length_c 9.243
_cell_angle_alpha 90.00
_cell_angle_beta 90.00
_cell_angle_gamma 90.00
loop_
_atom_site_label
_atom_site_type_symbol
_atom_site_fract_x
_atom_site_fract_y
_atom_site_fract_z
_atom_site_occupancy
Dy1 Dy 0.000 0.000 0.000 1
Np1 Np 0.500 0.500 0.500 1
Au1 Au 0.000 0.000 0.329 1
Au2 Au 0.500 0.500 0.162 1
```

Entry 15:
Here is crystalline MgZrTe2 at its relaxed geometry from Alexandria via LeMat-Bulk. Energies are from PBE.

Summary:
Total magnetization (μB/f.u.): 0.0
E_tot (Ry/atom): -0.3229
Density of states at the Fermi level (states/eV/atom): 0.64
Formation energy without anion corrections (kJ/mol of formula units): -111

Geometry as CIF:
```
data_MgZrTe2
_space_group_name_H-M_alt 'C m m 2'
_space_group_IT_number 35
_cell_length_a 4.389
_cell_length_b 5.419
_cell_length_c 9.432
_cell_angle_alpha 90.00
_cell_angle_beta 90.00
_cell_angle_gamma 90.00
loop_
_space_group_symop_operation_xyz
'x,y,z'
'-x,-y,z'
'-x,y,z'
'x,-y,z'
'x+1/2,y+1/2,z'
'-x+1/2,-y+1/2,z'
'-x+1/2,y+1/2,z'
'x+1/2,-y+1/2,z'
loop_
_atom_site_label
_atom_site_type_symbol
_atom_site_fract_x
_atom_site_fract_y
_atom_site_fract_z
_atom_site_occupancy
Mg1 Mg 0.000 0.000 0.000 1
Zr1 Zr 0.000 0.500 0.228 1
Te1 Te 0.000 0.000 0.424 1
Te2 Te 0.000 0.500 0.807 1
```

Entry 16:
Here is crystalline TbTmZnRu at its relaxed geometry from Alexandria via LeMat-Bulk. Energies are from PBE.

Summary:
Total magnetization (μB/f.u.): 0.0
Relative energy among the computed polymorphs (eV per formula unit): 0.00
ΔH_f (0 K) (eV/atom): -0.419
E_tot (Ry/atom): -0.3919
Density of states at the Fermi level (states/eV/atom): 0.66

Geometry as CIF:
```
data_TbTmZnRu
_space_group_name_H-M_alt 'P 4 m m'
_space_group_IT_number 99
_cell_length_a 3.429
_cell_length_b 3.429
_cell_length_c 7.204
_cell_angle_alpha 90.00
_cell_angle_beta 90.00
_cell_angle_gamma 90.00
loop_
_space_group_symop_operation_xyz
'x,y,z'
'-y,x,z'
'-x,-y,z'
'y,-x,z'
'-x,y,z'
'y,x,z'
'x,-y,z'
'-y,-x,z'
loop_
_atom_site_label
_atom_site_type_symbol
_atom_site_fract_x
_atom_site_fract_y
_atom_site_fract_z
_atom_site_occupancy
Tb1 Tb 0.000 0.000 0.000 1
Tm1 Tm 0.000 0.000 0.459 1
Zn1 Zn 0.500 0.500 0.720 1
Ru1 Ru 0.500 0.500 0.236 1
```

Entry 17:
Here is crystalline ThMgMnZn at its relaxed geometry from Alexandria via LeMat-Bulk. Energies are from PBE.

Summary:
Total magnetization (μB/f.u.): 3.5
ΔH_f (0 K) (eV/atom): 0.109
E_tot (Ry/atom): -0.3495
Density of states at the Fermi level (states/eV/atom): 1.18

Geometry as CIF:
```
data_ThMgMnZn
_space_group_name_H-M_alt 'F -4 3 m'
_space_group_IT_number 216
_space_group_name_Hall 'F -4 2 3'
_cell_length_a 6.984
_cell_length_b 6.984
_cell_length_c 6.984
_cell_angle_alpha 90.00
_cell_angle_beta 90.00
_cell_angle_gamma 90.00
loop_
_atom_site_label
_atom_site_type_symbol
_atom_site_fract_x
_atom_site_fract_y
_atom_site_fract_z
_atom_site_occupancy
Th1 Th 0.000 0.000 0.000 1
Mg1 Mg 0.000 0.000 0.500 1
Mn1 Mn 0.250 0.250 0.250 1
Zn1 Zn 0.250 0.250 0.750 1
```

Entry 18:
Here is crystalline Pm8Nd2Dy at its relaxed geometry from Alexandria via LeMat-Bulk. Energies are from PBE.

Summary:
Total magnetization (μB/f.u.): 0.0
Relative energy among the computed polymorphs (eV per formula unit): 1.63
ΔH_f (0 K) (eV/atom): 0.163
E_tot (Ry/atom): -0.3364
Density of states at the Fermi level (states/eV/atom): 1.50

Geometry as CIF:
```
data_Pm8Nd2Dy
_space_group_name_H-M_alt 'C 1 2/m 1'
_space_group_IT_number 12
_cell_length_a 19.235
_cell_length_b 7.114
_cell_length_c 5.749
_cell_angle_alpha 90.00
_cell_angle_beta 93.82
_cell_angle_gamma 90.00
loop_
_space_group_symop_operation_xyz
'x,y,z'
'-x,-y,-z'
'-x,y,-z'
'x,-y,z'
'x+1/2,y+1/2,z'
'-x+1/2,-y+1/2,-z'
'-x+1/2,y+1/2,-z'
'x+1/2,-y+1/2,z'
loop_
_atom_site_label
_atom_site_type_symbol
_atom_site_fract_x
_atom_site_fract_y
_atom_site_fract_z
_atom_site_occupancy
Pm1 Pm 0.045 0.000 0.235 1
Pm2 Pm 0.128 0.236 0.731 1
Pm3 Pm 0.186 0.500 0.229 1
Nd1 Nd 0.216 0.000 0.258 1
Dy1 Dy 0.000 0.500 0.000 1
```